1.
Density functional theory data (PBE) for a relaxed structure of Er6GaS8.

E_form (uncorrected)	-41.81	kcal/mol of atoms

a b c (Å): 10.928 10.928 10.928
angles (deg): 90.00 90.00 90.00
Space group Fm-3m (No. 225)
Inequivalent atoms, fractional coordinates:
Er: 0.000 0.250 0.250 (multiplicity 24)
Ga: 0.000 0.000 0.000 (multiplicity 4)
S: 0.000 0.000 0.251 (multiplicity 24)
S: 0.250 0.250 0.250 (multiplicity 8)

***

2.
Density functional theory data (PBE) for a relaxed structure of Er2GaS.

distance to the lowest polymorph of the same formula	0.1506	eV per atom
E_form (uncorrected)	-26.90	kcal/mol of atoms

a b c (Å): 3.7287 3.7287 22.8141
angles (deg): 90.00 90.00 120.00
Space group R3m (No. 160, hexagonal axes)
Inequivalent atoms, fractional coordinates:
Er: 0.0000 0.0000 0.0000 (multiplicity 3)
Er: 0.0000 0.0000 0.1881 (multiplicity 3)
Ga: 0.0000 0.0000 0.7609 (multiplicity 3)
S: 0.0000 0.0000 0.5925 (multiplicity 3)

***

3.
Density functional theory data (PBE) for a relaxed structure of Er2Ga2S7.

E_form (uncorrected)	-24.83	kcal/mol of atoms

a b c (Å): 7.928 11.624 6.556
angles (deg): 90.00 112.44 90.00
Space group C2/m (No. 12)
Inequivalent atoms, fractional coordinates:
Er: 0.000 0.187 0.000 (multiplicity 4)
Ga: 0.237 0.500 0.358 (multiplicity 4)
S: 0.000 0.500 0.500 (multiplicity 2)
S: 0.174 0.000 0.261 (multiplicity 4)
S: 0.229 0.169 0.781 (multiplicity 8)